[1]
## LiW7 (PBE-GGA)

Data for a relaxed LiW7 crystal.

Values from the calculation:
SG   Fm-3m, No. 225
ΔH_f (0 K)   498.0 meV/atom
D(E_F)   7.324 states/eV/cell
Calculated volume   128.05 Å³ per cell
DFT total energy   -88.6 eV for the cell shown
Total moment   0.00 Bohr magnetons per cell

Lattice parameters (Å, degrees): 5.6576 5.6576 5.6576 60.00 60.00 60.00
Positions (direct):
Li1 0.0000 0.0000 0.0000
W1 0.0000 0.0000 0.5000
W2 0.0000 0.5000 0.0000
W3 0.0000 0.5000 0.5000
W4 0.5000 0.0000 0.0000
W5 0.5000 0.0000 0.5000
W6 0.5000 0.5000 0.0000
W7 0.5000 0.5000 0.5000

---

[2]
## Li3W (PBE-GGA)

Data for a relaxed Li3W crystal.

Values from the calculation:
SG   Pnma, No. 62
ΔH_f (0 K)   487.6 meV/atom
D(E_F)   6.147 states/eV/cell
Energy above the lowest structure with this stoichiometry   0.208 eV per atom
Calculated volume   253.35 Å³ per cell
DFT total energy   -67.0 eV for the cell shown
Total moment   0.00 Bohr magnetons per cell

Lattice parameters (Å, degrees): 4.7533 9.3251 5.7158 90.00 90.00 90.00
Positions (direct):
Li1 0.0861 0.2500 0.1573
Li2 0.2418 0.5156 0.9143
Li3 0.2418 0.9844 0.9143
Li4 0.2582 0.0156 0.4143
Li5 0.2582 0.4844 0.4143
Li6 0.4139 0.7500 0.6573
Li7 0.5861 0.2500 0.3427
Li8 0.7418 0.5156 0.5857
Li9 0.7418 0.9844 0.5857
Li10 0.7582 0.0156 0.0857
Li11 0.7582 0.4844 0.0857
Li12 0.9139 0.7500 0.8427
W1 0.0236 0.2500 0.6933
W2 0.4764 0.7500 0.1933
W3 0.5236 0.2500 0.8067
W4 0.9764 0.7500 0.3067

---

[3]
## Li7W6 (PBE-GGA)

Data for a relaxed Li7W6 crystal.

Values from the calculation:
SG   R-3m, No. 166
ΔH_f (0 K)   578.7 meV/atom
D(E_F)   11.296 states/eV/cell
Calculated volume   177.65 Å³ per cell
DFT total energy   -83.6 eV for the cell shown
Total moment   0.00 Bohr magnetons per cell

Lattice parameters (Å, degrees): 9.7204 9.7204 9.7204 27.90 27.90 27.90
Positions (direct):
Li1 0.0000 0.0000 0.0000
Li2 0.0972 0.0972 0.5850
Li3 0.0972 0.5850 0.0972
Li4 0.4150 0.9028 0.9028
Li5 0.5850 0.0972 0.0972
Li6 0.9028 0.4150 0.9028
Li7 0.9028 0.9028 0.4150
W1 0.1579 0.1579 0.1579
W2 0.3501 0.3501 0.3501
W3 0.4559 0.4559 0.4559
W4 0.5441 0.5441 0.5441
W5 0.6499 0.6499 0.6499
W6 0.8421 0.8421 0.8421

---

[4]
## LiW3 (PBE-GGA)

Data for a relaxed LiW3 crystal.

Values from the calculation:
SG   Pmmm, No. 47
ΔH_f (0 K)   478.1 meV/atom
D(E_F)   2.204 states/eV/cell
Energy above the lowest structure with this stoichiometry   0.163 eV per atom
Calculated volume   62.76 Å³ per cell
DFT total energy   -38.9 eV for the cell shown
Total moment   0.00 Bohr magnetons per cell

Lattice parameters (Å, degrees): 2.6052 4.3691 5.5140 90.00 90.00 90.00
Positions (direct):
Li1 0.0000 0.0000 0.0000
W1 0.0000 0.0000 0.5000
W2 0.5000 0.5000 0.2443
W3 0.5000 0.5000 0.7557

---

[5]
## Li3W (PBE-GGA)

Data for a relaxed Li3W crystal.

Values from the calculation:
SG   Cmmm, No. 65
ΔH_f (0 K)   499.1 meV/atom
D(E_F)   2.688 states/eV/cell
Energy above the lowest structure with this stoichiometry   0.219 eV per atom
Calculated volume   63.68 Å³ per cell
DFT total energy   -16.7 eV for the cell shown
Total moment   0.00 Bohr magnetons per cell

Lattice parameters (Å, degrees): 5.3539 5.3539 2.4727 90.00 90.00 116.05
Positions (direct):
Li1 0.0000 0.0000 0.0000
Li2 0.0000 0.5000 0.5000
Li3 0.5000 0.0000 0.5000
W1 0.5000 0.5000 0.0000

---

[6]
## Li3W (PBE-GGA)

Data for a relaxed Li3W crystal.

Values from the calculation:
SG   Cmmm, No. 65
ΔH_f (0 K)   280.0 meV/atom
D(E_F)   2.422 states/eV/cell
Energy above the lowest structure with this stoichiometry   0.000 eV per atom
Calculated volume   66.19 Å³ per cell
DFT total energy   -17.6 eV for the cell shown
Total moment   0.00 Bohr magnetons per cell

Lattice parameters (Å, degrees): 2.6659 2.6659 10.0513 90.00 90.00 112.09
Positions (direct):
Li1 0.0000 0.0000 0.0000
Li2 0.5000 0.5000 0.2605
Li3 0.5000 0.5000 0.7395
W1 0.0000 0.0000 0.5000

---

[7]
## Li3W (PBE-GGA)

Data for a relaxed Li3W crystal.

Values from the calculation:
SG   P6_3/mmc, No. 194
ΔH_f (0 K)   942.4 meV/atom
D(E_F)   6.800 states/eV/cell
Energy above the lowest structure with this stoichiometry   0.662 eV per atom
Calculated volume   253.05 Å³ per cell
DFT total energy   -59.7 eV for the cell shown
Total moment   0.05 Bohr magnetons per cell

Lattice parameters (Å, degrees): 5.6378 5.6378 9.1931 90.00 90.00 120.00
Positions (direct):
Li1 0.0000 0.5000 0.0000
Li2 0.0000 0.5000 0.5000
Li3 0.1645 0.3290 0.2500
Li4 0.1645 0.8355 0.2500
Li5 0.3290 0.1645 0.7500
Li6 0.5000 0.0000 0.0000
Li7 0.5000 0.0000 0.5000
Li8 0.5000 0.5000 0.0000
Li9 0.5000 0.5000 0.5000
Li10 0.6710 0.8355 0.2500
Li11 0.8355 0.1645 0.7500
Li12 0.8355 0.6710 0.7500
W1 0.0000 0.0000 0.0000
W2 0.0000 0.0000 0.5000
W3 0.3333 0.6667 0.7500
W4 0.6667 0.3333 0.2500

---

[8]
## LiW (PBE-GGA)

Data for a relaxed LiW crystal.

Values from the calculation:
SG   Pmmn, No. 59
ΔH_f (0 K)   491.6 meV/atom
D(E_F)   3.512 states/eV/cell
Energy above the lowest structure with this stoichiometry   0.223 eV per atom
Calculated volume   64.66 Å³ per cell
DFT total energy   -27.8 eV for the cell shown
Total moment   0.00 Bohr magnetons per cell

Lattice parameters (Å, degrees): 2.5290 4.5467 5.6236 90.00 90.00 90.00
Positions (direct):
Li1 0.2500 0.2500 0.0994
Li2 0.7500 0.7500 0.9006
W1 0.2500 0.7500 0.4049
W2 0.7500 0.2500 0.5951